This record from Alexandria via LeMat-Bulk describes Zr2CuPt after structural relaxation. The functional is GGA-PBE.

Output
Calculated formation energy   -52.4 kJ per mole of atoms
Size of the total moment   0.000 μB per atom

Cell lengths 3.3528, 3.3695, 7.3032 Å; angles 62.53, 90.00, 90.00 degrees
Sites, in units of the cell vectors:
Zr 0.0000 0.9957 0.0043
Zr 0.0000 0.5043 0.4957
Pt 0.5000 0.7500 0.7500
Cu 0.5000 0.2500 0.2500